Density functional theory data (GGA-PBE) for a relaxed HoPHRu2 crystal.

Geometry as extended XYZ:
```
10
Lattice="3.601 0.000 0.000 -1.801 5.296 0.000 0.000 0.000 7.228" Properties=species:S:1:pos:R:3 pbc="T T T"
Ho 0.000 4.739 5.421
Ho 1.801 0.557 1.807
P 1.801 2.418 5.421
P 0.000 2.878 1.807
H 0.000 0.000 0.000
H 0.000 0.000 3.614
Ru 0.000 1.692 6.815
Ru 1.801 3.604 0.413
Ru 0.000 1.692 4.027
Ru 1.801 3.604 3.201
```

Values from the calculation:
Space group: Cmcm (63)

Density functional theory data (GGA-PBE) for a relaxed Ho6P2HSe3 crystal.

Geometry as extended XYZ:
```
12
Lattice="3.969 0.000 0.000 0.000 7.996 0.165 -1.985 -2.429 8.314" Properties=species:S:1:pos:R:3 pbc="T T T"
Ho 0.000 5.604 5.812
Ho 1.985 3.725 2.959
Ho 1.985 -0.037 2.667
Ho 0.000 1.906 0.072
Ho 1.985 3.661 8.407
Ho 0.000 1.842 5.520
P 1.985 3.727 5.702
P 0.000 1.840 2.778
H 1.985 0.000 0.000
Se 1.985 3.998 0.083
Se 1.985 -0.274 5.521
Se 0.000 5.841 2.958
```

Values from the calculation:
Space group: C2/m (12)

Density functional theory data (GGA-PBE) for a relaxed HoTcPH2 crystal.

Geometry as extended XYZ:
```
10
Lattice="-1.254 -2.203 -2.746 3.438 -2.677 3.121 -4.611 -1.792 3.543" Properties=species:S:1:pos:R:3 pbc="T T T"
Ho -2.894 -4.047 2.025
Ho 0.467 -2.625 1.893
Tc 0.000 0.000 0.000
Tc -2.306 -0.896 1.771
P -1.048 -4.584 4.156
P -1.379 -2.089 -0.238
H -3.359 -2.992 3.934
H 0.932 -3.680 -0.016
H -1.611 -2.313 2.591
H -0.816 -4.359 1.327
```

Values from the calculation:
Space group: Cmcm (63)

Density functional theory data (GGA-PBE) for a relaxed Ho8Te4P3H crystal.

Geometry as extended XYZ:
```
16
Lattice="-2.835 4.649 6.014 -7.864 -2.167 -2.033 5.386 -5.855 1.593" Properties=species:S:1:pos:R:3 pbc="T T T"
Ho -1.030 -6.121 1.539
Ho -3.695 -3.225 0.751
Ho -0.210 -2.504 1.837
Ho -2.433 -3.821 4.514
Ho -2.881 0.448 1.059
Ho -5.104 -0.868 3.737
Ho -1.619 -0.147 4.823
Ho -4.284 2.748 4.035
Te -1.418 2.324 3.007
Te 1.275 -0.603 3.803
Te 0.000 0.000 0.000
Te 2.693 -2.927 0.797
P -5.350 1.241 1.990
P -2.657 -1.686 2.787
P -1.239 -4.011 -0.220
H -3.932 -1.083 -1.016
```

Values from the calculation:
Space group: R-3m (166)

Density functional theory data (GGA-PBE) for a relaxed Ho3PaH crystal.

Geometry as extended XYZ:
```
5
Lattice="4.872 0.000 0.000 0.000 4.872 0.000 0.000 0.000 4.872" Properties=species:S:1:pos:R:3 pbc="T T T"
H 0.000 0.000 0.000
Pa 2.436 2.436 2.436
Ho 0.000 2.436 0.000
Ho 0.000 0.000 2.436
Ho 2.436 0.000 0.000
```

Values from the calculation:
Space group: Pm-3m (221)

Density functional theory data (GGA-PBE) for a relaxed Ho2PaH8 crystal.

Geometry as extended XYZ:
```
11
Lattice="3.386 0.000 -1.031 -0.809 4.681 -2.659 0.060 0.409 6.276" Properties=species:S:1:pos:R:3 pbc="T T T"
Ho 0.048 3.264 0.159
Ho 2.589 1.826 2.428
Pa 1.693 0.000 -0.515
H 1.537 4.375 -1.027
H 0.709 2.973 2.331
H 0.402 0.820 1.322
H -0.222 1.285 -0.730
H 2.235 4.270 1.265
H 1.928 2.117 0.256
H 1.100 0.715 3.613
H 2.859 3.806 3.316
```

Values from the calculation:
Space group: Immm (71)

Density functional theory data (GGA-PBE) for a relaxed HoPaH2 crystal.

Geometry as extended XYZ:
```
4
Lattice="-3.034 -0.330 1.515 -2.671 -1.159 -1.770 -0.549 -5.939 1.438" Properties=species:S:1:pos:R:3 pbc="T T T"
H -4.695 -5.557 0.884
H -1.560 -1.872 0.300
Pa -3.127 -3.714 0.592
Ho 0.000 0.000 0.000
```

Values from the calculation:
Space group: R-3m (166)

Density functional theory data (GGA-PBE) for a relaxed HoPaH3 crystal.

Geometry as extended XYZ:
```
5
Lattice="-0.583 -2.388 3.315 -0.385 -3.302 -2.446 4.067 -0.654 0.244" Properties=species:S:1:pos:R:3 pbc="T T T"
H -0.192 -1.651 -1.223
H 2.034 -0.327 0.122
H -0.291 -1.194 1.658
Pa 0.000 0.000 0.000
Ho 1.550 -3.172 0.556
```

Values from the calculation:
Space group: Pm-3m (221)

Density functional theory data (GGA-PBE) for a relaxed HoHPb crystal.

Geometry as extended XYZ:
```
6
Lattice="3.524 -0.485 0.128 0.795 5.452 -0.889 1.741 1.197 5.966" Properties=species:S:1:pos:R:3 pbc="T T T"
Ho 2.032 5.161 3.595
Ho 1.820 2.763 0.651
H 3.772 5.052 4.788
H 5.344 3.585 5.552
Pb 3.397 2.126 3.708
Pb 3.978 5.314 0.665
```

Values from the calculation:
Space group: P-1 (2)
ΔE to the lowest computed polymorph in kJ/mol of formula units: 24

Density functional theory data (GGA-PBE) for a relaxed Ho3HPb crystal.

Geometry as extended XYZ:
```
10
Lattice="-1.472 -3.151 -0.811 4.205 -3.012 4.074 -7.711 1.875 6.708" Properties=species:S:1:pos:R:3 pbc="T T T"
Ho -1.395 -3.487 4.289
Ho -3.582 -0.801 5.682
Ho -7.079 -1.356 6.322
Ho -1.398 -2.360 7.775
Ho 2.102 -2.932 3.648
Ho -3.579 -1.929 2.196
H 0.596 -2.669 5.358
H -5.573 -1.619 4.613
Pb -0.357 -1.368 2.033
Pb -4.620 -2.920 7.938
```

Values from the calculation:
Space group: P2_1/m (11)
ΔE to the lowest computed polymorph in kJ/mol of formula units: 10

Density functional theory data (GGA-PBE) for a relaxed Ho3HPb crystal.

Geometry as extended XYZ:
```
5
Lattice="-3.048 -3.364 1.630 3.516 -1.865 2.724 -1.270 2.910 3.631" Properties=species:S:1:pos:R:3 pbc="T T T"
Pb -0.401 -1.160 3.993
H 0.000 0.000 0.000
Ho 1.758 -0.933 1.362
Ho -0.635 1.455 1.815
Ho -1.524 -1.682 0.815
```

Values from the calculation:
Space group: Pm-3m (221)
ΔE to the lowest computed polymorph in kJ/mol of formula units: 0

Density functional theory data (GGA-PBE) for a relaxed HoHPb crystal.

Geometry as extended XYZ:
```
24
Lattice="6.843 0.000 0.000 0.000 8.753 0.000 0.000 0.000 8.753" Properties=species:S:1:pos:R:3 pbc="T T T"
Pb 3.622 5.762 0.579
Pb 0.201 4.955 1.386
Pb 3.220 0.579 2.991
Pb 6.642 1.386 3.798
Pb 6.642 7.367 4.955
Pb 3.220 8.174 5.762
Pb 0.201 3.798 7.367
Pb 3.622 2.991 8.174
H 0.924 8.234 1.019
H 5.918 1.019 0.519
H 4.346 5.395 3.858
H 2.497 3.858 3.358
H 2.497 4.895 5.395
H 4.346 3.358 4.895
H 5.918 7.734 8.234
H 0.924 0.519 7.734
Ho 1.107 1.653 0.839
Ho 5.736 7.914 1.653
Ho 4.528 3.538 2.724
Ho 2.314 6.029 3.538
Ho 2.314 2.724 5.215
Ho 4.528 5.215 6.029
Ho 5.736 0.839 7.100
Ho 1.107 7.100 7.914
```

Values from the calculation:
Space group: P-42_1c (114)
ΔE to the lowest computed polymorph in kJ/mol of formula units: 56

Density functional theory data (GGA-PBE) for a relaxed Ho2H3Pb crystal.

Geometry as extended XYZ:
```
12
Lattice="-1.233 0.323 -3.447 -6.152 0.439 4.201 3.452 6.755 -0.603" Properties=species:S:1:pos:R:3 pbc="T T T"
Ho -3.876 5.477 1.899
Ho -0.058 2.039 -1.748
Ho -3.586 2.860 -0.409
Ho -0.347 4.656 0.560
H -2.354 3.974 1.214
H -4.462 4.692 0.076
H 0.262 4.383 -1.643
H -4.195 3.133 1.794
H 0.529 2.824 0.075
H -1.580 3.542 -1.063
Pb -2.140 7.109 -0.528
Pb -1.793 0.407 0.680
```

Values from the calculation:
Space group: C2/m (12)

Density functional theory data (GGA-PBE) for a relaxed HoHPb crystal.

Geometry as extended XYZ:
```
3
Lattice="-3.217 -0.118 -0.413 0.428 -1.157 -3.001 1.326 -4.813 3.800" Properties=species:S:1:pos:R:3 pbc="T T T"
Pb -0.001 -0.055 0.021
H -0.037 -2.919 1.120
Ho -1.425 -3.114 -0.757
```

Values from the calculation:
Space group: I4mm (107)
ΔE to the lowest computed polymorph in kJ/mol of formula units: 84

Density functional theory data (GGA-PBE) for a relaxed Ho6HPb5 crystal.

Geometry as extended XYZ:
```
12
Lattice="6.004 1.261 0.000 2.850 7.617 0.000 1.425 3.809 7.870" Properties=species:S:1:pos:R:3 pbc="T T T"
Ho 5.162 2.831 2.681
Ho 3.692 6.048 2.681
Ho 1.397 1.607 0.000
Ho 7.456 7.271 0.000
Ho 6.587 6.640 5.189
Ho 5.117 9.856 5.189
H 0.000 0.000 0.000
Pb 4.427 4.439 5.354
Pb 1.425 3.809 2.435
Pb 4.427 4.439 0.000
Pb 2.850 7.617 5.435
Pb 5.852 8.248 2.516
```

Values from the calculation:
Space group: C2/m (12)

Density functional theory data (GGA-PBE) for a relaxed HoHPb crystal.

Geometry as extended XYZ:
```
3
Lattice="5.161 0.000 0.000 0.000 3.651 0.000 0.000 -1.826 3.162" Properties=species:S:1:pos:R:3 pbc="T T T"
Pb 3.441 0.000 2.108
H 0.859 0.000 0.000
Ho 0.861 1.826 1.054
```

Values from the calculation:
Space group: P-6m2 (187)
ΔE to the lowest computed polymorph in kJ/mol of formula units: 0

Density functional theory data (GGA-PBE) for a relaxed HoH2Pb crystal.

Geometry as extended XYZ:
```
4
Lattice="-1.091 2.719 -2.095 -2.472 -0.575 -2.554 -5.355 1.937 2.208" Properties=species:S:1:pos:R:3 pbc="T T T"
Pb -4.459 2.040 -1.220
H -7.381 3.264 -1.207
H -1.538 0.817 -1.234
Ho 0.000 0.000 0.000
```

Values from the calculation:
Space group: R-3m (166)

Density functional theory data (GGA-PBE) for a relaxed Ho5HPb2 crystal.

Geometry as extended XYZ:
```
8
Lattice="6.926 -0.005 -0.001 -0.005 6.926 -0.001 -3.461 -3.461 4.484" Properties=species:S:1:pos:R:3 pbc="T T T"
Ho 5.190 1.731 0.021
Ho 1.733 1.733 0.020
Ho 5.188 5.188 0.019
Ho 1.731 5.190 0.021
Ho 3.460 3.460 2.305
H 0.000 0.000 0.041
Pb -0.002 3.463 2.268
Pb 3.463 -0.003 2.268
```

Values from the calculation:
Space group: I4mm (107)

Density functional theory data (GGA-PBE) for a relaxed Ho3HPb2 crystal.

Geometry as extended XYZ:
```
12
Lattice="6.344 0.000 0.000 0.000 7.027 0.351 -3.172 -1.389 6.779" Properties=species:S:1:pos:R:3 pbc="T T T"
Ho 2.591 1.757 0.088
Ho 3.753 5.270 0.263
Ho -0.443 0.698 1.747
Ho 2.729 1.426 5.208
Ho 0.443 4.211 1.922
Ho 3.615 4.939 5.383
H 5.876 5.270 0.263
H 0.468 1.757 0.088
Pb 3.462 3.296 2.672
Pb 2.881 -0.217 2.496
Pb 0.291 5.855 4.633
Pb -0.291 2.341 4.458
```

Values from the calculation:
Space group: C2/c (15)

Density functional theory data (GGA-PBE) for a relaxed HoHPb2 crystal.

Geometry as extended XYZ:
```
4
Lattice="-2.382 -3.514 -0.411 3.243 0.709 -2.685 4.131 -0.776 4.780" Properties=species:S:1:pos:R:3 pbc="T T T"
Ho 1.557 -2.298 -0.426
H 2.118 -0.235 0.797
Pb 6.248 -0.620 2.288
Pb 1.475 -2.623 2.781
```

Values from the calculation:
Space group: Cm (8)

no.,E_tot (eV per formula unit)
1,-34.97
2,-69.68
3,-30.57
4,-89.54
5,-26.49
6,-51.11
7,-21.71
8,-24.62
9,-13.02
10,-22.47
11,-22.57
12,-12.68
13,-26.52
14,-12.39
15,-53.20
16,-13.26
17,-16.67
18,-35.62
19,-26.49
20,-15.83